The following is a DFT calculation (PBE) of crystalline La4PmAu5 at its relaxed geometry.

abc: 3.7402 3.7402 19.0485
angles: 90.00 90.00 90.00
Last column: nearest neighbours and their distance in Å.
Positions (direct):
La1 0.0000 0.0000 0.1009  8 Au 3.27
La2 0.0000 0.0000 0.3027  8 Au 3.27-3.30
La3 0.0000 0.0000 0.6973  8 Au 3.27-3.30
La4 0.0000 0.0000 0.8991  8 Au 3.27
Pm1 0.0000 0.0000 0.5000  8 Au 3.19
Au1 0.5000 0.5000 0.0000  8 La 3.27
Au2 0.5000 0.5000 0.2017  8 La 3.27
Au3 0.5000 0.5000 0.4066  4 Pm 3.19, 4 La 3.30, 1 Au 3.56
Au4 0.5000 0.5000 0.5934  4 Pm 3.19, 4 La 3.30, 1 Au 3.56
Au5 0.5000 0.5000 0.7983  8 La 3.27

D(E_F)	8.28	states/eV/cell
formation energy from the elements	-7.8	eV/f.u.

The following is a DFT calculation (PBE) of crystalline LaPm4Au4 at its relaxed geometry.

abc: 9.4358 9.4358 6.1416
angles: 90.00 90.00 90.00
Last column: nearest neighbours and their distance in Å.
Positions (direct):
La1 0.2500 0.2500 0.2500  4 Au 3.00
La2 0.7500 0.7500 0.7500  4 Au 3.00
Pm1 0.0684 0.6553 0.1623  5 Au 2.96-3.15
Pm2 0.1553 0.9316 0.6623  5 Au 2.96-3.15
Pm3 0.3447 0.5684 0.6623  5 Au 2.96-3.15
Pm4 0.4316 0.8447 0.1623  5 Au 2.96-3.15
Pm5 0.5684 0.1553 0.8377  5 Au 2.96-3.15
Pm6 0.6553 0.4316 0.3377  5 Au 2.96-3.15
Pm7 0.8447 0.0684 0.3377  5 Au 2.96-3.15
Pm8 0.9316 0.3447 0.8377  5 Au 2.96-3.15
Au1 0.0368 0.6264 0.6543  5 Pm 2.96-3.15, 1 La 3.00, 1 Au 3.12
Au2 0.1264 0.9632 0.1543  5 Pm 2.96-3.15, 1 La 3.00, 1 Au 3.12
Au3 0.3736 0.5368 0.1543  5 Pm 2.96-3.15, 1 La 3.00, 1 Au 3.12
Au4 0.4632 0.8736 0.6543  5 Pm 2.96-3.15, 1 La 3.00, 1 Au 3.12
Au5 0.5368 0.1264 0.3457  5 Pm 2.96-3.15, 1 La 3.00, 1 Au 3.12
Au6 0.6264 0.4632 0.8457  5 Pm 2.96-3.15, 1 La 3.00, 1 Au 3.12
Au7 0.8736 0.0368 0.8457  5 Pm 2.96-3.15, 1 La 3.00, 1 Au 3.12
Au8 0.9632 0.3736 0.3457  5 Pm 2.96-3.15, 1 La 3.00, 1 Au 3.12

D(E_F)	22.30	states/eV/cell
formation energy from the elements	-5.2	eV/f.u.

The following is a DFT calculation (PBE) of crystalline LaPm4Au at its relaxed geometry.

abc: 11.3129 11.3129 6.6211
angles: 90.00 90.00 152.03
Last column: nearest neighbours and their distance in Å.
Positions (direct):
La1 0.1331 0.8669 0.5000  2 Au 3.18
La2 0.8669 0.1331 0.0000  2 Au 3.18
Pm1 0.0704 0.9296 0.9999  2 Au 3.37, 6 Pm 3.56-3.77, 2 La 3.58-3.59
Pm2 0.2576 0.7424 0.8732  1 Au 3.03
Pm3 0.3358 0.6642 0.3519  1 Au 3.02, 1 Pm 3.36
Pm4 0.4743 0.5257 0.1374  2 Au 3.04-3.06, 1 Pm 3.36
Pm5 0.5257 0.4743 0.6374  2 Au 3.04-3.06, 1 Pm 3.36
Pm6 0.6642 0.3358 0.8519  1 Au 3.02, 1 Pm 3.36
Pm7 0.7424 0.2576 0.3732  1 Au 3.03
Pm8 0.9296 0.0704 0.4999  2 Au 3.37, 6 Pm 3.56-3.77, 2 La 3.58-3.59
Au1 0.3919 0.6081 0.7689  6 Pm 3.02-3.37, 2 La 3.18
Au2 0.6081 0.3919 0.2689  6 Pm 3.02-3.37, 2 La 3.18

D(E_F)	14.96	states/eV/cell
formation energy from the elements	-0.9	eV/f.u.

The following is a DFT calculation (PBE) of crystalline La4PmAu2 at its relaxed geometry.

abc: 12.4448 12.4448 12.4448
angles: 21.93 21.93 21.93
Last column: nearest neighbours and their distance in Å.
Positions (direct):
La1 0.1092 0.1092 0.1092  3 Au 3.08, 3 Pm 3.44
La2 0.3008 0.3008 0.3008  3 Au 3.06
La3 0.6992 0.6992 0.6992  3 Au 3.06
La4 0.8908 0.8908 0.8908  3 Au 3.08, 3 Pm 3.44
Pm1 0.5000 0.5000 0.5000  6 La 3.44, 2 Au 3.51
Au1 0.4037 0.4037 0.4037  6 La 3.06-3.08
Au2 0.5963 0.5963 0.5963  6 La 3.06-3.08

D(E_F)	11.25	states/eV/cell
formation energy from the elements	-1.7	eV/f.u.

The following is a DFT calculation (PBE) of crystalline La2Pm3Au4 at its relaxed geometry.

abc: 9.1735 9.1735 8.2301
angles: 90.00 90.00 131.91
Last column: nearest neighbours and their distance in Å.
Positions (direct):
La1 0.0926 0.9074 0.9140  5 Au 3.30-3.46, 1 La 3.41
La2 0.4074 0.5926 0.4140  5 Au 3.30-3.46, 1 La 3.41
La3 0.5926 0.4074 0.5860  5 Au 3.30-3.46, 1 La 3.41
La4 0.9074 0.0926 0.0860  5 Au 3.30-3.46, 1 La 3.41
Pm1 0.0000 0.0000 0.5000  6 Au 2.89-3.07
Pm2 0.0222 0.4778 0.7500  5 Au 2.98-3.09
Pm3 0.4778 0.0222 0.2500  5 Au 2.98-3.09
Pm4 0.5000 0.5000 0.0000  6 Au 2.89-3.07
Pm5 0.5222 0.9778 0.7500  5 Au 2.98-3.09
Pm6 0.9778 0.5222 0.2500  5 Au 2.98-3.09
Au1 0.1824 0.8176 0.5351  5 Pm 2.98-3.09
Au2 0.2020 0.2980 0.7500  3 Pm 2.89-3.01
Au3 0.2980 0.2020 0.2500  3 Pm 2.89-3.01
Au4 0.3176 0.6824 0.0351  5 Pm 2.98-3.09
Au5 0.6824 0.3176 0.9649  5 Pm 2.98-3.09
Au6 0.7020 0.7980 0.7500  3 Pm 2.89-3.01
Au7 0.7980 0.7020 0.2500  3 Pm 2.89-3.01
Au8 0.8176 0.1824 0.4649  5 Pm 2.98-3.09

D(E_F)	21.43	states/eV/cell
energy relative to the lowest polymorph listed for this composition	88	meV/atom
formation energy from the elements	-5.6	eV/f.u.

The following is a DFT calculation (PBE) of crystalline La2PmAu at its relaxed geometry.

abc: 4.9031 8.3869 6.6166
angles: 90.00 111.70 90.00
Last column: nearest neighbours and their distance in Å.
Positions (direct):
La1 0.1375 0.0352 0.2750  3 Au 3.03-3.17
La2 0.1375 0.4648 0.2750  3 Au 3.03-3.17
La3 0.8625 0.5352 0.7250  3 Au 3.03-3.17
La4 0.8625 0.9648 0.7250  3 Au 3.03-3.17
Pm1 0.4489 0.2500 0.8987  1 Au 3.21, 4 La 3.59
Pm2 0.5511 0.7500 0.1013  1 Au 3.21, 4 La 3.59
Au1 0.2890 0.7500 0.5785  6 La 3.03-3.17, 1 Pm 3.21
Au2 0.7110 0.2500 0.4215  6 La 3.03-3.17, 1 Pm 3.21

D(E_F)	9.67	states/eV/cell
energy relative to the lowest polymorph listed for this composition	21	meV/atom
formation energy from the elements	-1.5	eV/f.u.

The following is a DFT calculation (PBE) of crystalline La2PmAu at its relaxed geometry.

abc: 3.8108 3.8108 8.6613
angles: 90.00 90.00 90.00
Last column: nearest neighbours and their distance in Å.
Positions (direct):
La1 0.0000 0.0000 0.2109  4 Au 3.26
La2 0.0000 0.0000 0.7891  4 Au 3.26
Pm1 0.5000 0.5000 0.5000  8 La 3.68, 4 Pm 3.81
Au1 0.5000 0.5000 0.0000  8 La 3.26

D(E_F)	5.55	states/eV/cell
energy relative to the lowest polymorph listed for this composition	34	meV/atom
formation energy from the elements	-1.5	eV/f.u.

The following is a DFT calculation (PBE) of crystalline La2PmAu at its relaxed geometry.

abc: 7.7783 7.7783 7.7783
angles: 90.00 90.00 90.00
Last column: nearest neighbours and their distance in Å.
Positions (direct):
La1 0.2500 0.2500 0.2500  4 Pm 3.37, 4 Au 3.37
La2 0.2500 0.2500 0.7500  4 Pm 3.37, 4 Au 3.37
La3 0.2500 0.7500 0.2500  4 Pm 3.37, 4 Au 3.37
La4 0.2500 0.7500 0.7500  4 Pm 3.37, 4 Au 3.37
La5 0.7500 0.2500 0.2500  4 Pm 3.37, 4 Au 3.37
La6 0.7500 0.2500 0.7500  4 Pm 3.37, 4 Au 3.37
La7 0.7500 0.7500 0.2500  4 Pm 3.37, 4 Au 3.37
La8 0.7500 0.7500 0.7500  4 Au 3.37, 4 Pm 3.37
Pm1 0.0000 0.0000 0.0000  8 La 3.37
Pm2 0.0000 0.5000 0.5000  8 La 3.37
Pm3 0.5000 0.0000 0.5000  8 La 3.37
Pm4 0.5000 0.5000 0.0000  8 La 3.37
Au1 0.0000 0.0000 0.5000  8 La 3.37
Au2 0.0000 0.5000 0.0000  8 La 3.37
Au3 0.5000 0.0000 0.0000  8 La 3.37
Au4 0.5000 0.5000 0.5000  8 La 3.37

D(E_F)	20.86	states/eV/cell
energy relative to the lowest polymorph listed for this composition	252	meV/atom
formation energy from the elements	-0.6	eV/f.u.

The following is a DFT calculation (PBE) of crystalline La2PmAu3 at its relaxed geometry.

abc: 3.7320 3.7320 11.3623
angles: 90.00 90.00 90.00
Last column: nearest neighbours and their distance in Å.
Positions (direct):
La1 0.0000 0.0000 0.1692  8 Au 3.26-3.30
La2 0.0000 0.0000 0.8308  8 Au 3.26-3.30
Pm1 0.0000 0.0000 0.5000  8 Au 3.19
Au1 0.5000 0.5000 0.0000  8 La 3.26
Au2 0.5000 0.5000 0.3430  4 Pm 3.19, 4 La 3.30, 1 Au 3.57
Au3 0.5000 0.5000 0.6570  4 Pm 3.19, 4 La 3.30, 1 Au 3.57

D(E_F)	4.49	states/eV/cell
energy relative to the lowest polymorph listed for this composition	0	meV/atom
formation energy from the elements	-4.7	eV/f.u.

The following is a DFT calculation (PBE) of crystalline LaPm2Au8 at its relaxed geometry.

abc: 8.6898 8.6898 5.2413
angles: 107.52 107.52 124.55
Last column: nearest neighbours and their distance in Å.
Positions (direct):
La1 0.0000 0.0000 0.0000  6 Au 3.10-3.35
Pm1 0.3148 0.6852 0.5000  12 Au 3.09-3.22
Pm2 0.6852 0.3148 0.5000  12 Au 3.09-3.22
Au1 0.0947 0.3604 0.7282  4 Au 2.81-3.05, 1 Pm 3.13
Au2 0.2018 0.7982 0.0000  6 Au 3.05-3.16, 4 Pm 3.09-3.14, 1 La 3.10
Au3 0.3604 0.0947 0.7282  4 Au 2.81-3.05, 1 Pm 3.13
Au4 0.5000 0.5000 0.2496  2 Au 2.62
Au5 0.5000 0.5000 0.7504  2 Au 2.62
Au6 0.6396 0.9053 0.2718  4 Au 2.81-3.05, 1 Pm 3.13
Au7 0.7982 0.2018 0.0000  6 Au 3.05-3.16, 4 Pm 3.09-3.14, 1 La 3.10
Au8 0.9053 0.6396 0.2718  4 Au 2.81-3.05, 1 Pm 3.13

D(E_F)	4.86	states/eV/cell
formation energy from the elements	-7.9	eV/f.u.

The following is a DFT calculation (PBE) of crystalline La2Pm3Au4 at its relaxed geometry.

abc: 8.9239 7.9500 7.5469
angles: 90.00 110.51 90.00
Last column: nearest neighbours and their distance in Å.
Positions (direct):
La1 0.1862 0.1789 0.0501  6 Au 3.19-3.55
La2 0.1862 0.3211 0.5501  6 Au 3.19-3.55
La3 0.8138 0.6789 0.4499  6 Au 3.19-3.55
La4 0.8138 0.8211 0.9499  6 Au 3.19-3.55
Pm1 0.2432 0.6678 0.2365  6 Au 3.05-3.18
Pm2 0.2432 0.8322 0.7365  6 Au 3.05-3.18
Pm3 0.5000 0.0000 0.5000  4 Au 3.02-3.03
Pm4 0.5000 0.5000 0.0000  4 Au 3.02-3.03
Pm5 0.7568 0.1678 0.2635  6 Au 3.05-3.18
Pm6 0.7568 0.3322 0.7635  6 Au 3.05-3.18
Au1 0.0722 0.5335 0.8387  3 Pm 3.05-3.11, 1 Au 3.17, 3 La 3.19-3.24
Au2 0.0722 0.9665 0.3387  3 Pm 3.05-3.11, 1 Au 3.17, 3 La 3.19-3.24
Au3 0.4872 0.1384 0.8677  1 Au 2.93, 5 Pm 3.02-3.18, 1 La 3.25
Au4 0.4872 0.3616 0.3677  1 Au 2.93, 5 Pm 3.02-3.18, 1 La 3.25
Au5 0.5128 0.6384 0.6323  1 Au 2.93, 5 Pm 3.02-3.18, 1 La 3.25
Au6 0.5128 0.8616 0.1323  1 Au 2.93, 5 Pm 3.02-3.18, 1 La 3.25
Au7 0.9278 0.0335 0.6613  3 Pm 3.05-3.11, 1 Au 3.17, 3 La 3.19-3.24
Au8 0.9278 0.4665 0.1613  3 Pm 3.05-3.11, 1 Au 3.17, 3 La 3.19-3.24

D(E_F)	19.22	states/eV/cell
energy relative to the lowest polymorph listed for this composition	0	meV/atom
formation energy from the elements	-6.4	eV/f.u.

The following is a DFT calculation (PBE) of crystalline La2PmAu2 at its relaxed geometry.

abc: 8.5085 8.5085 3.9883
angles: 90.00 90.00 90.00
Last column: nearest neighbours and their distance in Å.
Positions (direct):
La1 0.1657 0.3343 0.0000  6 Au 3.17-3.22
La2 0.3343 0.8343 0.0000  6 Au 3.17-3.22
La3 0.6657 0.1657 0.0000  6 Au 3.17-3.22
La4 0.8343 0.6657 0.0000  6 Au 3.17-3.22
Pm1 0.0000 0.0000 0.5000  4 Au 3.34
Pm2 0.5000 0.5000 0.5000  4 Au 3.34
Au1 0.1297 0.6297 0.5000  1 Au 3.12, 6 La 3.17-3.22, 2 Pm 3.34
Au2 0.3703 0.1297 0.5000  1 Au 3.12, 6 La 3.17-3.22, 2 Pm 3.34
Au3 0.6297 0.8703 0.5000  1 Au 3.12, 6 La 3.17-3.22, 2 Pm 3.34
Au4 0.8703 0.3703 0.5000  1 Au 3.12, 6 La 3.17-3.22, 2 Pm 3.34

D(E_F)	10.98	states/eV/cell
formation energy from the elements	-3.3	eV/f.u.

The records above yield density values of 10.50; 9.15; 7.65; 7.71; 9.67; 8.14; 8.18; 8.75; 10.64; 13.39; 9.94; 9.39 g/cm³, respectively.